(1)
VASP calculation (PBEsol) on a relaxed structure of RbMn2H.

Calculated values
The calculation puts the total DFT energy (no corrections) at -4.078 eV/atom.

Cell: 5.0139 5.0139 5.0139 Å, 60.00 60.00 60.00°
Positions (direct):
Rb 0.0000 0.0000 0.0000
Mn 0.2500 0.2500 0.2500
Mn 0.7500 0.7500 0.7500
H 0.5000 0.5000 0.5000


(2)
VASP calculation (PBEsol) on a relaxed structure of MnTe2Mo.

Calculated values
The formation energy from raw total energies comes out at 607 meV/atom.

Cell: 5.7360 5.7360 5.7360 Å, 139.89 139.89 58.02°
Positions (direct):
Mn 0.0000 0.0000 0.0000
Te 0.2500 0.7500 0.5000
Te 0.5000 0.5000 0.0000
Mo 0.7500 0.2500 0.5000


(3)
VASP calculation (PBEsol) on a relaxed structure of Ba3SbRu.

Calculated values
The formation energy from raw total energies comes out at 708 meV/atom.

Cell: 6.4480 6.4480 6.4480 Å, 90.00 90.00 90.00°
Positions (direct):
Ba 0.0000 0.0000 0.5000
Ba 0.0000 0.5000 0.0000
Ba 0.5000 0.0000 0.0000
Sb 0.0000 0.0000 0.0000
Ru 0.5000 0.5000 0.5000


What did the second record say?
VASP calculation (PBEsol) on a relaxed structure of MnTe2Mo.

Calculated values
The formation energy from raw total energies comes out at 607 meV/atom.

Cell: 5.7360 5.7360 5.7360 Å, 139.89 139.89 58.02°
Positions (direct):
Mn 0.0000 0.0000 0.0000
Te 0.2500 0.7500 0.5000
Te 0.5000 0.5000 0.0000
Mo 0.7500 0.2500 0.5000